NaCrO2: relaxed, GGA+U.

As for the polymorph energy (0 for the lowest one): 1.51 eV/f.u. As for the total energy: -49.9 eV for the cell shown.

Lattice parameters (Å, degrees): 4.7942 4.7942 6.0491 66.65 66.65 90.00
Atoms (fractional coordinates):
O 0.3750 0.2969 0.7500
O 0.0469 0.6250 0.2500
Na 0.5000 0.5000 0.0000
Cr 0.7500 0.2500 0.5000
O 0.7031 0.1250 0.2500
Na 0.2500 0.7500 0.5000
O 0.8750 0.9531 0.7500
Cr 0.0000 0.0000 0.0000